(1)
A relaxed Pm3Ge8Os3 crystal. Source: Alexandria via LeMat-Bulk, functional PBE-GGA.

```
Pm3Ge8Os3
1.0
4.222 0.000 0.000
2.111 8.034 -0.638
2.111 1.574 7.904
Ge Os Pm
8 3 3
Direct
0.157 0.473 0.214 Ge
0.157 0.214 0.473 Ge
0.378 0.321 0.923 Ge
0.378 0.923 0.321 Ge
0.622 0.077 0.679 Ge
0.843 0.527 0.786 Ge
0.622 0.679 0.077 Ge
0.843 0.786 0.527 Ge
0.000 0.209 0.791 Os
0.500 0.000 0.000 Os
0.000 0.791 0.209 Os
0.500 0.500 0.500 Pm
0.181 0.819 0.819 Pm
0.819 0.181 0.181 Pm
```

Space group ... Immm
Magnetic moment ... 0.000 μB per atom
Crystal system ... orthorhombic
Energy above the lowest structure with this stoichiometry ... 70.7 meV/atom
Raw total energy ... -89.1 eV for the cell shown

---

(2)
A relaxed Pm2Ge4Os crystal. Source: Alexandria via LeMat-Bulk, functional PBE-GGA.

```
Pm2Ge4Os
1.0
6.158 -0.156 0.000
-0.252 6.155 0.000
-2.953 -2.999 4.209
Ge Pm Os
4 2 1
Direct
0.289 0.289 0.000 Ge
0.711 0.711 0.422 Ge
0.289 0.289 0.578 Ge
0.711 0.711 0.000 Ge
0.750 0.250 0.500 Pm
0.250 0.750 0.500 Pm
0.000 0.000 0.000 Os
```

Space group ... I4/mmm
Magnetic moment ... 0.000 μB per atom
Crystal system ... tetragonal
Raw total energy ... -41.4 eV for the cell shown

---

(3)
A relaxed PmGe2Os crystal. Source: Alexandria via LeMat-Bulk, functional PBE-GGA.

```
PmGe2Os
1.0
4.387 0.000 0.000
0.000 7.065 0.000
0.000 0.000 10.314
Ge Os Pm
8 4 4
Direct
0.750 0.189 0.420 Ge
0.250 0.371 0.322 Ge
0.750 0.689 0.080 Ge
0.750 0.629 0.678 Ge
0.250 0.811 0.580 Ge
0.250 0.871 0.178 Ge
0.250 0.311 0.920 Ge
0.750 0.129 0.822 Ge
0.250 0.516 0.109 Os
0.750 0.484 0.891 Os
0.250 0.016 0.391 Os
0.750 0.984 0.609 Os
0.250 0.827 0.873 Pm
0.750 0.673 0.373 Pm
0.250 0.327 0.627 Pm
0.750 0.173 0.127 Pm
```

Space group ... Pnma
Magnetic moment ... 0.000 μB per atom
Crystal system ... orthorhombic
Energy above the lowest structure with this stoichiometry ... 12.4 meV/atom
Raw total energy ... -108.7 eV for the cell shown

---

(4)
A relaxed PmGe8Os4 crystal. Source: Alexandria via LeMat-Bulk, functional PBE-GGA.

```
PmGe8Os4
1.0
-5.516 1.592 -1.686
-4.569 -0.529 3.828
-1.893 8.492 3.591
Os Ge Pm
4 8 1
Direct
0.000 0.500 0.000 Os
0.000 0.000 0.000 Os
0.500 0.000 0.000 Os
0.500 0.500 0.000 Os
0.257 0.762 0.219 Ge
0.743 0.238 0.781 Ge
0.238 0.743 0.781 Ge
0.238 0.238 0.781 Ge
0.259 0.259 0.224 Ge
0.762 0.762 0.219 Ge
0.762 0.257 0.219 Ge
0.741 0.741 0.776 Ge
0.500 0.500 0.500 Pm
```

Space group ... R-3m
Magnetic moment ... 0.000 μB per atom
Crystal system ... trigonal
Raw total energy ... -84.8 eV for the cell shown

---

In eV per atom, the energy of formation from the pure elements values for the records above are, in order, -0.3018; -0.3168; -0.4881; 0.1381.